Record 1
Compound: PRhSCl2
Source: the Alexandria database
Functional: GGA-PBE
Structure: optimized geometry

Cell and atoms, written as POSCAR:
```
PRhSCl2
1.0
4.740 0.000 0.000
0.000 4.740 0.000
0.000 0.000 4.682
P Rh S Cl
1 1 1 2
Direct
0.000 0.000 0.000
0.500 0.500 0.500
0.500 0.500 0.000
0.000 0.500 0.500
0.500 0.000 0.500
```

## Properties
* energy relative to the elements, uncorrected: 519 meV per atom
* total magnetization: 1.0 μB per formula unit
* density of states at the Fermi level: 3.467 states/eV per cell
* energy above the most stable polymorph in this dataset: 19 meV per atom


Record 2
Compound: P2RhSCl
Source: the Alexandria database
Functional: GGA-PBE
Structure: optimized geometry

Cell and atoms, written as POSCAR:
```
P2RhSCl
1.0
4.447 0.000 0.000
0.000 4.447 0.000
0.000 0.000 4.597
P Rh S Cl
2 1 1 1
Direct
0.000 0.500 0.000
0.500 0.000 0.000
0.000 0.000 0.500
0.500 0.500 0.500
0.500 0.500 0.000
```

## Properties
* energy relative to the elements, uncorrected: 1492 meV per atom
* total magnetization: 0.0 μB per formula unit
* density of states at the Fermi level: 4.152 states/eV per cell
* energy above the most stable polymorph in this dataset: 857 meV per atom


Record 3
Compound: PRhSCl2
Source: the Alexandria database
Functional: GGA-PBE
Structure: optimized geometry

Cell and atoms, written as POSCAR:
```
PRhSCl2
1.0
4.730 0.000 0.000
0.000 4.730 0.000
0.000 0.000 4.673
P Rh S Cl
1 1 1 2
Direct
0.000 0.000 0.000
0.000 0.000 0.500
0.500 0.500 0.000
0.000 0.500 0.500
0.500 0.000 0.500
```

## Properties
* energy relative to the elements, uncorrected: 499 meV per atom
* total magnetization: 0.7 μB per formula unit
* density of states at the Fermi level: 3.508 states/eV per cell
* energy above the most stable polymorph in this dataset: 0 meV per atom


Record 4
Compound: PRhSCl2
Source: the Alexandria database
Functional: GGA-PBE
Structure: optimized geometry

Cell and atoms, written as POSCAR:
```
PRhSCl2
1.0
4.684 0.000 0.000
0.000 4.684 0.000
0.000 0.000 4.755
P Rh S Cl
1 1 1 2
Direct
0.000 0.000 0.000
0.500 0.500 0.500
0.000 0.000 0.500
0.000 0.500 0.000
0.500 0.000 0.000
```

## Properties
* energy relative to the elements, uncorrected: 657 meV per atom
* total magnetization: 2.1 μB per formula unit
* density of states at the Fermi level: 4.064 states/eV per cell
* energy above the most stable polymorph in this dataset: 157 meV per atom


Record 5
Compound: P2RhSCl
Source: the Alexandria database
Functional: GGA-PBE
Structure: optimized geometry

Cell and atoms, written as POSCAR:
```
P2RhSCl
1.0
4.550 0.000 0.000
0.000 4.550 0.000
0.000 0.000 4.388
P Rh S Cl
2 1 1 1
Direct
0.000 0.500 0.000
0.500 0.000 0.000
0.000 0.000 0.500
0.500 0.500 0.000
0.500 0.500 0.500
```

## Properties
* energy relative to the elements, uncorrected: 1132 meV per atom
* total magnetization: 0.0 μB per formula unit
* density of states at the Fermi level: 4.877 states/eV per cell
* energy above the most stable polymorph in this dataset: 497 meV per atom


Record 6
Compound: P2RhSCl
Source: the Alexandria database
Functional: GGA-PBE
Structure: optimized geometry

Cell and atoms, written as POSCAR:
```
P2RhSCl
1.0
4.617 0.000 0.000
0.000 4.617 0.000
0.000 0.000 4.665
P Rh S Cl
2 1 1 1
Direct
0.000 0.500 0.000
0.500 0.000 0.000
0.000 0.000 0.000
0.500 0.500 0.500
0.000 0.000 0.500
```

## Properties
* energy relative to the elements, uncorrected: 635 meV per atom
* total magnetization: 0.0 μB per formula unit
* density of states at the Fermi level: 3.079 states/eV per cell
* energy above the most stable polymorph in this dataset: 0 meV per atom


What is the energy above the most stable polymorph in this dataset in the second record?
857 meV per atom